# 1
# Pm2PaGe3, optimized geometry, DFT PBE
data_Pm2PaGe3
_cell_length_a 4.201
_cell_length_b 5.963
_cell_length_c 12.723
_cell_angle_alpha 90.00
_cell_angle_beta 90.00
_cell_angle_gamma 90.00
_space_group_name_H-M_alt 'I m m m'
_space_group_IT_number 71
_space_group_name_Hall '-I 2 2'
loop_
_atom_site_label
_atom_site_type_symbol
_atom_site_fract_x
_atom_site_fract_y
_atom_site_fract_z
_atom_site_occupancy
Pm1 Pm 0.000 0.000 0.170 1
Pa1 Pa 0.000 0.000 0.500 1
Ge1 Ge 0.000 0.500 0.157 1
Ge2 Ge 0.000 0.500 0.500 1
# magnetic moment: 0.0 μB/f.u.
# ΔE_f: -0.635 eV/atom
# Fermi-level density of states: 11.1 states/eV/cell

=====

# 2
# KTaNi2, optimized geometry, DFT PBE
data_KTaNi2
_cell_length_a 4.990
_cell_length_b 4.990
_cell_length_c 2.710
_cell_angle_alpha 90.00
_cell_angle_beta 90.00
_cell_angle_gamma 90.00
_space_group_name_H-M_alt 'P 4/m m m'
_space_group_IT_number 123
_space_group_name_Hall '-P 4 2'
loop_
_atom_site_label
_atom_site_type_symbol
_atom_site_fract_x
_atom_site_fract_y
_atom_site_fract_z
_atom_site_occupancy
K1 K 0.000 0.000 0.000 1
Ta1 Ta 0.500 0.500 0.000 1
Ni1 Ni 0.000 0.500 0.500 1
# magnetic moment: 0.0 μB/f.u.
# ΔE to the lowest computed polymorph: 520.9 meV/atom
# ΔE_f: 0.701 eV/atom
# Fermi-level density of states: 3.7 states/eV/cell

=====

# 3
# FeTe2IrC, optimized geometry, DFT PBE
data_FeTe2IrC
_cell_length_a 4.872
_cell_length_b 4.872
_cell_length_c 4.468
_cell_angle_alpha 90.00
_cell_angle_beta 90.00
_cell_angle_gamma 90.00
_space_group_name_H-M_alt 'P 4/m m m'
_space_group_IT_number 123
_space_group_name_Hall '-P 4 2'
loop_
_atom_site_label
_atom_site_type_symbol
_atom_site_fract_x
_atom_site_fract_y
_atom_site_fract_z
_atom_site_occupancy
Fe1 Fe 0.000 0.000 0.000 1
Te1 Te 0.000 0.500 0.000 1
Ir1 Ir 0.000 0.000 0.500 1
C1 C 0.500 0.500 0.500 1
# magnetic moment: 0.0 μB/f.u.
# formation energy without anion corrections: 2.077 eV per atom
# Fermi-level density of states: 5.8 states/eV/cell

=====

# 4
# MgSbW4, optimized geometry, DFT PBE
data_MgSbW4
_cell_length_a 7.622
_cell_length_b 7.622
_cell_length_c 7.622
_cell_angle_alpha 90.00
_cell_angle_beta 90.00
_cell_angle_gamma 90.00
_space_group_name_H-M_alt 'F -4 3 m'
_space_group_IT_number 216
_space_group_name_Hall 'F -4 2 3'
loop_
_atom_site_label
_atom_site_type_symbol
_atom_site_fract_x
_atom_site_fract_y
_atom_site_fract_z
_atom_site_occupancy
Mg1 Mg 0.000 0.000 0.000 1
Sb1 Sb 0.250 0.250 0.750 1
W1 W 0.126 0.126 0.374 1
# magnetic moment: 0.0 μB/f.u.
# formation energy without anion corrections: 0.584 eV per atom
# Fermi-level density of states: 9.3 states/eV/cell

=====

# 5
# HfAl2Pd, optimized geometry, DFT PBE
data_HfAl2Pd
_cell_length_a 7.251
_cell_length_b 7.251
_cell_length_c 5.584
_cell_angle_alpha 90.00
_cell_angle_beta 90.00
_cell_angle_gamma 90.00
_space_group_name_H-M_alt 'I -4 2 d'
_space_group_IT_number 122
_space_group_name_Hall 'I -4 2bw'
loop_
_atom_site_label
_atom_site_type_symbol
_atom_site_fract_x
_atom_site_fract_y
_atom_site_fract_z
_atom_site_occupancy
Hf1 Hf 0.000 0.000 0.000 1
Al1 Al 0.210 0.250 0.625 1
Pd1 Pd 0.000 0.000 0.500 1
# magnetic moment: 0.0 μB/f.u.
# ΔE_f: -0.301 eV/atom
# Fermi-level density of states: 7.1 states/eV/cell

=====

# 6
# TbSm7Al4, optimized geometry, DFT PBE
data_TbSm7Al4
_cell_length_a 14.050
_cell_length_b 5.594
_cell_length_c 10.613
_cell_angle_alpha 90.00
_cell_angle_beta 124.40
_cell_angle_gamma 90.00
_space_group_name_H-M_alt 'C 1 2/m 1'
_space_group_IT_number 12
loop_
_space_group_symop_operation_xyz
'x,y,z'
'-x,-y,-z'
'-x,y,-z'
'x,-y,z'
'x+1/2,y+1/2,z'
'-x+1/2,-y+1/2,-z'
'-x+1/2,y+1/2,-z'
'x+1/2,-y+1/2,z'
loop_
_atom_site_label
_atom_site_type_symbol
_atom_site_fract_x
_atom_site_fract_y
_atom_site_fract_z
_atom_site_occupancy
Tb1 Tb 0.000 0.000 0.000 1
Sm1 Sm 0.000 0.500 0.000 1
Sm2 Sm 0.065 0.000 0.388 1
Sm3 Sm 0.205 0.500 0.647 1
Sm4 Sm 0.208 0.000 0.879 1
Al1 Al 0.053 0.500 0.761 1
Al2 Al 0.175 0.500 0.332 1
# magnetic moment: 0.0 μB/f.u.
# ΔE_f: -0.063 eV/atom
# Fermi-level density of states: 27.3 states/eV/cell